Below is an optimized crystal structure of SrLi2Hg, with properties calculated at the GGA-PBEsol level.

Calculated values
Energy, eV/atom: -1.837
Fermi-level density of states, states/eV/f.u.: 3.2
Crystal system: trigonal

Cell lengths 6.029, 6.029, 6.029 Å; angles 45.43, 45.43, 45.43 degrees
Sites, in units of the cell vectors:
Sr: 0.000 0.000 0.000
Li: 0.204 0.204 0.204
Li: 0.796 0.796 0.796
Hg: 0.500 0.500 0.500